[1]
This record from Alexandria describes a relaxed PrSmMg2 crystal. The functional is PBE.

Values from the calculation:
* formation energy from the elements: -0.1100 eV/atom

Cell lengths 5.4810, 5.4810, 3.8907 Å; angles 90.00, 90.00, 90.00 degrees
Last column: nearest neighbours and their distance in Å.
Space group P4/mmm (No. 123)
One atom of each set of equivalent atoms:
Pr: 0.0000 0.0000 0.0000 [1 per cell]  8 Mg 3.36
Sm: 0.5000 0.5000 0.0000 [1 per cell]  8 Mg 3.36
Mg: 0.0000 0.5000 0.5000 [2 per cell]  4 Pr 3.36, 4 Sm 3.36

---

[2]
This record from Alexandria describes a relaxed Pr12Sm2Mg crystal. The functional is PBE.

Values from the calculation:
* formation energy from the elements: 0.2795 eV/atom

Cell lengths 6.7389, 6.7389, 24.6809 Å; angles 90.00, 90.00, 90.00 degrees
Last column: nearest neighbours and their distance in Å.
Space group P4/nbm (No. 125, origin choice 2)
One atom of each set of equivalent atoms:
Pr: 0.0200 0.5200 0.0987 [8 per cell]  2 Mg 3.28-3.54, 6 Pr 3.38-3.51
Pr: 0.0831 0.5831 0.5643 [8 per cell]  6 Pr 3.18-3.55
Pr: 0.2500 0.2500 0.2028 [4 per cell]  1 Pr 3.12
Pr: 0.2500 0.2500 0.3291 [4 per cell]  1 Pr 3.12
Sm: 0.2500 0.7500 0.2457 [4 per cell]  8 Pr 3.53-3.95
Mg: 0.2500 0.7500 0.0000 [2 per cell]  8 Pr 3.28-3.54

---

[3]
This record from Alexandria describes a relaxed Pr8Sm2Mg crystal. The functional is PBE.

Values from the calculation:
* formation energy from the elements: 0.3515 eV/atom

Cell lengths 12.1035, 11.5155, 6.0831 Å; angles 90.00, 102.73, 90.00 degrees
Last column: nearest neighbours and their distance in Å.
Space group C2/m (No. 12)
One atom of each set of equivalent atoms:
Pr: 0.0793 0.0000 0.2915 [4 per cell]  2 Pr 3.25-3.50, 1 Sm 3.41
Pr: 0.1079 0.2592 0.7810 [8 per cell]  3 Pr 3.35-3.71, 1 Sm 3.35, 1 Mg 3.45
Pr: 0.2310 0.0000 0.9121 [4 per cell]  1 Mg 3.18, 1 Sm 3.20, 3 Pr 3.25-3.35
Sm: 0.1362 0.5000 0.4880 [4 per cell]  1 Mg 3.06, 4 Pr 3.20-3.41, 1 Sm 3.33
Mg: 0.0000 0.5000 0.0000 [2 per cell]  2 Sm 3.06, 2 Pr 3.18

---

[4]
This record from Alexandria describes a relaxed Pr6SmMg crystal. The functional is PBE.

Values from the calculation:
* formation energy from the elements: 0.0627 eV/atom

Cell lengths 5.9027, 5.9027, 15.7595 Å; angles 90.00, 90.00, 90.00 degrees
Last column: nearest neighbours and their distance in Å.
Space group I4/mmm (No. 139)
One atom of each set of equivalent atoms:
Pr: 0.0000 0.0000 0.2463 [4 per cell]  8 Pr 3.61-3.67, 1 Sm 3.88, 1 Mg 4.00
Pr: 0.0000 0.5000 0.1149 [8 per cell]  2 Mg 3.46, 2 Sm 3.46, 5 Pr 3.61-3.67
Sm: 0.0000 0.0000 0.0000 [2 per cell]  8 Pr 3.46
Mg: 0.0000 0.0000 0.5000 [2 per cell]  8 Pr 3.46

---

[5]
This record from Alexandria describes a relaxed PrSm4Mg crystal. The functional is PBE.

Values from the calculation:
* formation energy from the elements: -0.0201 eV/atom

Cell lengths 3.6638, 3.6638, 14.5471 Å; angles 90.00, 90.00, 90.00 degrees
Last column: nearest neighbours and their distance in Å.
Space group P4/mmm (No. 123)
One atom of each set of equivalent atoms:
Pr: 0.0000 0.0000 0.0000 [1 per cell]  4 Pr 3.66, 8 Sm 3.68
Sm: 0.0000 0.0000 0.3516 [2 per cell]  4 Mg 3.37, 8 Sm 3.60-3.66
Sm: 0.5000 0.5000 0.1797 [2 per cell]  8 Sm 3.60-3.66, 4 Pr 3.68
Mg: 0.5000 0.5000 0.5000 [1 per cell]  8 Sm 3.37, 4 Mg 3.66

---

[6]
This record from Alexandria describes a relaxed Pr2Sm6Mg crystal. The functional is PBE.

Values from the calculation:
* formation energy from the elements: 0.0197 eV/atom

Cell lengths 6.3434, 9.3062, 11.2571 Å; angles 108.47, 106.32, 90.01 degrees
Last column: nearest neighbours and their distance in Å.
Space group P-1 (No. 2)
One atom of each set of equivalent atoms:
Pr: 0.0606 0.3018 0.4436 [2 per cell]  9 Sm 3.55-3.72, 3 Pr 3.64-3.66
Pr: 0.3831 0.8018 0.4436 [2 per cell]  9 Sm 3.55-3.72, 3 Pr 3.64-3.66
Sm: 0.0485 0.4754 0.7851 [2 per cell]  7 Sm 3.47-3.74, 2 Mg 3.50-3.61, 3 Pr 3.55-3.71
Sm: 0.1742 0.0884 0.6781 [2 per cell]  1 Mg 3.47, 6 Sm 3.55-3.81, 5 Pr 3.60-3.72
Sm: 0.2633 0.0243 0.2150 [2 per cell]  7 Sm 3.47-3.74, 2 Mg 3.50-3.61, 3 Pr 3.55-3.71
Sm: 0.2748 0.8641 0.8940 [2 per cell]  8 Sm 3.47-3.74, 3 Mg 3.54-3.66, 1 Pr 3.62
Sm: 0.3817 0.6359 0.1061 [2 per cell]  8 Sm 3.47-3.74, 3 Mg 3.54-3.66, 1 Pr 3.62
Sm: 0.4964 0.4114 0.3219 [2 per cell]  1 Mg 3.46, 6 Sm 3.55-3.81, 5 Pr 3.60-3.72
Mg: 0.1698 0.2500 0.0002 [2 per cell]  12 Sm 3.46-3.66

---

[7]
This record from Alexandria describes a relaxed Pr6SmMg crystal. The functional is PBE.

Values from the calculation:
* formation energy from the elements: 0.0839 eV/atom

Cell lengths 9.8346, 9.8346, 9.9019 Å; angles 90.00, 90.00, 120.00 degrees
Last column: nearest neighbours and their distance in Å.
Space group R-3 (No. 148, hexagonal axes)
One atom of each set of equivalent atoms:
Pr: 0.0220 0.2714 0.2144 [18 per cell]  1 Mg 3.33, 6 Pr 3.36-3.67, 1 Sm 3.58
Sm: 0.0000 0.0000 0.5000 [3 per cell]  12 Pr 3.58-3.82
Mg: 0.0000 0.0000 0.0000 [3 per cell]  6 Pr 3.33

---

[8]
This record from Alexandria describes a relaxed Pr2Sm4Mg crystal. The functional is PBE.

Values from the calculation:
* formation energy from the elements: 0.5285 eV/atom

Cell lengths 4.7587, 4.7587, 11.5068 Å; angles 90.00, 90.00, 90.00 degrees
Last column: nearest neighbours and their distance in Å.
Space group P-42m (No. 111)
One atom of each set of equivalent atoms:
Pr: 0.0000 0.5000 0.0000 [2 per cell]  4 Pr 3.36, 4 Sm 3.50
Sm: 0.2429 0.2429 0.7335 [4 per cell]  1 Mg 3.20, 4 Sm 3.27-3.46, 2 Pr 3.50
Mg: 0.5000 0.5000 0.5000 [1 per cell]  4 Sm 3.20

---

[9]
This record from Alexandria describes a relaxed PrSm6Mg crystal. The functional is PBE.

Values from the calculation:
* formation energy from the elements: 0.3289 eV/atom

Cell lengths 9.1096, 7.2720, 9.1551 Å; angles 90.00, 106.33, 90.00 degrees
Last column: nearest neighbours and their distance in Å.
Space group C2/m (No. 12)
One atom of each set of equivalent atoms:
Pr: 0.0000 0.0000 0.0000 [2 per cell]  10 Sm 3.41-3.74
Sm: 0.1385 0.0000 0.4257 [4 per cell]  1 Mg 3.17, 3 Sm 3.19-3.41
Sm: 0.1905 0.2465 0.7933 [8 per cell]  1 Mg 3.32, 5 Sm 3.41-3.69, 2 Pr 3.41-3.45
Mg: 0.0000 0.5000 0.5000 [2 per cell]  6 Sm 3.17-3.32

---

[10]
This record from Alexandria describes a relaxed PrSmMg2 crystal. The functional is PBE.

Values from the calculation:
* formation energy from the elements: -0.1144 eV/atom

Cell lengths 7.7606, 7.7606, 7.7606 Å; angles 90.00, 90.00, 90.00 degrees
Last column: nearest neighbours and their distance in Å.
Space group Fm-3m (No. 225)
One atom of each set of equivalent atoms:
Pr: 0.0000 0.0000 0.0000 [4 per cell]  8 Mg 3.36
Sm: 0.0000 0.0000 0.5000 [4 per cell]  8 Mg 3.36
Mg: 0.2500 0.2500 0.2500 [8 per cell]  4 Pr 3.36, 4 Sm 3.36

---

[11]
This record from Alexandria describes a relaxed Pr3SmMg8 crystal. The functional is PBE.

Values from the calculation:
* formation energy from the elements: -0.1078 eV/atom

Cell lengths 6.1513, 6.1513, 30.0255 Å; angles 90.00, 90.00, 120.00 degrees
Last column: nearest neighbours and their distance in Å.
Space group R3m (No. 160, hexagonal axes)
One atom of each set of equivalent atoms:
Pr: 0.0000 0.0000 0.0000 [3 per cell]  12 Mg 3.58-3.61, 1 Pr 3.76, 3 Sm 3.77
Pr: 0.0000 0.0000 0.1251 [3 per cell]  12 Mg 3.61, 4 Pr 3.76-3.77
Pr: 0.0000 0.0000 0.5004 [3 per cell]  12 Mg 3.60-3.62, 1 Sm 3.74, 3 Pr 3.77
Sm: 0.0000 0.0000 0.6250 [3 per cell]  12 Mg 3.59-3.61, 4 Pr 3.74-3.77
Mg: 0.0000 0.0000 0.3127 [3 per cell]  6 Mg 3.06
Mg: 0.0000 0.0000 0.8126 [3 per cell]  6 Mg 3.08
Mg: 0.0003 0.5002 0.5630 [9 per cell]  6 Mg 3.06-3.08
Mg: 0.1670 0.3341 0.3955 [9 per cell]  6 Mg 3.06-3.08

---

[12]
This record from Alexandria describes a relaxed Pr2SmMg crystal. The functional is PBE.

Values from the calculation:
* formation energy from the elements: -0.0393 eV/atom

Cell lengths 3.7735, 3.7735, 9.1624 Å; angles 90.00, 90.00, 90.00 degrees
Last column: nearest neighbours and their distance in Å.
Space group P4/mmm (No. 123)
One atom of each set of equivalent atoms:
Pr: 0.0000 0.0000 0.2275 [2 per cell]  4 Mg 3.39, 4 Sm 3.65, 4 Pr 3.77
Sm: 0.5000 0.5000 0.5000 [1 per cell]  8 Pr 3.65, 4 Sm 3.77
Mg: 0.5000 0.5000 0.0000 [1 per cell]  8 Pr 3.39, 4 Mg 3.77

---

Number 1: density 4.83 g cm⁻³, D(E_F) 4.2 states/eV per cell. Number 2: density 5.97 g cm⁻³, D(E_F) 31.8 states/eV per cell. Number 3: density 5.83 g cm⁻³, D(E_F) 29.9 states/eV per cell. Number 4: density 6.17 g cm⁻³, D(E_F) 28.3 states/eV per cell. Number 5: density 6.52 g cm⁻³, D(E_F) 7.5 states/eV per cell. Number 6: density 6.67 g cm⁻³, D(E_F) 28.6 states/eV per cell. Number 7: density 6.13 g cm⁻³, D(E_F) 33.5 states/eV per cell. Number 8: density 5.78 g cm⁻³, D(E_F) 11.4 states/eV per cell. Number 9: density 6.09 g cm⁻³, D(E_F) 21.4 states/eV per cell. Number 10: density 4.83 g cm⁻³, D(E_F) 14.5 states/eV per cell. Number 11: density 3.89 g cm⁻³, D(E_F) 33.3 states/eV per cell. Number 12: density 5.81 g cm⁻³, D(E_F) 4.3 states/eV per cell.